{"formula": "La3Mg4Cd2", "functional": "GGA-PBE", "state": "relaxed", "e_tot_ev_per_atom": -2.772, "ef_mev_per_atom": -218, "spacegroup": "C2/m (12)", "cell": [[-2.231, 1.384, 4.574], [3.519, -5.211, 0.253], [4.412, 8.703, -0.481]], "species": ["La", "La", "La", "Mg", "Mg", "Mg", "Mg", "Cd", "Cd"], "fractional_positions": [[0.663, 0.327, 0.666], [0.000, 0.000, 0.000], [0.337, 0.673, 0.334], [0.715, 0.430, 0.051], [0.285, 0.570, 0.949], [0.935, 0.871, 0.606], [0.065, 0.129, 0.394], [0.611, 0.222, 0.277], [0.389, 0.778, 0.723]]}

{"formula": "Ac2YGa", "functional": "GGA-PBE", "state": "relaxed", "relative_energy_mev_per_atom": 399, "e_tot_ev_per_atom": -4.195, "ef_mev_per_atom": 232, "spacegroup": "R-3m (166)", "cell": [[3.786, 0.000, 0.000], [1.893, 3.279, 0.000], [1.893, 1.093, 12.512]], "species": ["Y", "Ac", "Ac", "Ga"], "fractional_positions": [[0.500, 0.500, 0.500], [0.087, 0.087, 0.740], [0.913, 0.913, 0.260], [0.000, 0.000, 0.000]]}

{"formula": "BaNa3Pt", "functional": "GGA-PBE", "state": "relaxed", "relative_energy_mev_per_atom": 0, "e_tot_ev_per_atom": -2.348, "ef_mev_per_atom": 36, "spacegroup": "Pm-3m (221)", "cell": [[-0.043, -5.466, 1.200], [5.588, 0.022, 0.302], [-0.300, 1.201, 5.458]], "species": ["Na", "Na", "Na", "Ba", "Pt"], "fractional_positions": [[0.000, 0.500, 0.000], [0.000, 0.000, 0.500], [0.500, 0.000, 0.000], [0.500, 0.500, 0.500], [0.000, 0.000, 0.000]]}

{"formula": "PuScCuPb", "functional": "GGA-PBE", "state": "relaxed", "e_tot_ev_per_atom": -7.194, "ef_mev_per_atom": -77, "spacegroup": "F-43m (216)", "cell": [[-1.370, 4.160, -2.609], [0.250, 0.012, -5.092], [-4.284, -0.020, -2.762]], "species": ["Pb", "Sc", "Cu", "Pu"], "fractional_positions": [[0.750, 0.750, 0.750], [0.500, 0.500, 0.500], [0.250, 0.250, 0.250], [0.000, 0.000, 0.000]]}